No. 1
CoReIr after structural relaxation, computed with PBE-GGA.

Geometry as POSCAR:
```
CoReIr
1.0
7.024 -0.011 0.007
6.286 2.556 0.007
0.739 -1.073 2.332
Co Ir Re
1 1 1
Cartesian
0.764 -1.066 2.327 Co
4.961 0.142 1.554 Ir
9.062 1.322 0.798 Re
```

Calculated values
- Energy of formation from the pure elements: 0.924 eV per formula unit
- Energy relative to the lowest polymorph listed for this composition: 396 meV per atom
- E_tot: -9.1635 eV per atom
- Space group: Fmm2

No. 2
CeSmPt after structural relaxation, computed with PBE-GGA.

Geometry as POSCAR:
```
CeSmPt
1.0
3.987 -0.194 -0.013
0.221 4.537 -0.058
0.141 0.101 8.429
Ce Sm Pt
2 2 2
Cartesian
1.392 3.975 7.983 Ce
3.632 1.585 7.433 Ce
3.493 3.830 4.617 Sm
1.391 1.629 2.370 Sm
3.399 3.797 1.684 Pt
1.485 1.663 5.303 Pt
```

Calculated values
- Energy of formation from the pure elements: -2.278 eV per formula unit
- Energy relative to the lowest polymorph listed for this composition: 0 meV per atom
- E_tot: -6.3240 eV per atom
- Space group: P2_1/m

No. 3
Rb4LiPa3S8 after structural relaxation, computed with PBE-GGA.

Geometry as POSCAR:
```
Rb4LiPa3S8
1.0
8.175 0.000 0.000
0.000 9.016 0.584
-4.087 -4.082 5.785
S Rb Pa Li
8 4 3 1
Cartesian
2.106 2.604 0.437 S
-1.982 2.330 5.932 S
4.087 4.367 3.081 S
6.069 2.604 0.437 S
0.000 4.308 3.128 S
4.087 0.625 3.241 S
0.000 0.567 3.287 S
1.982 2.330 5.932 S
2.044 -2.041 2.892 Rb
0.000 0.000 0.000 Rb
-2.044 -2.041 2.892 Rb
4.087 0.000 0.000 Rb
4.087 4.508 0.292 Pa
2.044 2.467 3.184 Pa
-2.044 2.467 3.184 Pa
0.000 4.508 0.292 Li
```

Calculated values
- Formation energy (no corrections): -1459 meV/atom
- E_tot: -5.6647 eV per atom
- Space group: R-3m